[1]
The following is a PBE-GGA calculation of an optimized crystal structure of KLi2SmI6, from Alexandria.

Lattice parameters (Å, degrees): 7.918 7.915 8.554 62.42 62.42 59.99
Sites, in units of the cell vectors:
I 0.909 0.599 0.235
I 0.743 0.157 0.751
Sm 0.323 0.323 0.031
I 0.258 0.908 0.235
I 0.598 0.258 0.235
Li 0.511 0.512 0.466
I 0.349 0.744 0.751
K 0.807 0.807 0.578
I 0.157 0.349 0.751
Li 0.006 0.006 0.982

Values from the calculation:
- Total magnetic moment: 0.00 μB/cell
- ΔE_f (raw): -1.309 eV/atom

[2]
The following is a PBE-GGA calculation of an optimized crystal structure of KLiSnI4, from Alexandria.

Lattice parameters (Å, degrees): 7.685 8.389 9.466 90.00 106.89 90.00
Sites, in units of the cell vectors:
K 0.786 0.750 0.951
I 0.002 0.999 0.725
I 0.520 0.250 0.398
K 0.214 0.250 0.049
I 0.480 0.750 0.602
Sn 0.216 0.250 0.548
I 0.002 0.501 0.725
I 0.528 0.250 0.845
I 0.998 0.499 0.275
Li 0.758 0.250 0.673
I 0.472 0.750 0.155
Sn 0.784 0.750 0.452
Li 0.242 0.750 0.327
I 0.998 0.001 0.275

Values from the calculation:
- Total magnetic moment: 0.00 μB/cell
- ΔE_f (raw): -0.941 eV/atom

[3]
The following is a PBE-GGA calculation of an optimized crystal structure of K2LiSnI6, from Alexandria.

Lattice parameters (Å, degrees): 8.164 8.474 11.619 90.00 90.19 90.00
Sites, in units of the cell vectors:
I 0.197 0.199 0.052
I 0.694 0.305 0.956
K 0.473 0.416 0.253
I 0.803 0.801 0.948
Li 0.500 0.000 0.500
I 0.600 0.012 0.253
I 0.697 0.301 0.552
Sn 0.000 0.500 0.500
I 0.900 0.512 0.247
Li 0.000 0.500 0.000
K 0.973 0.084 0.753
K 0.527 0.584 0.747
I 0.194 0.195 0.456
I 0.306 0.695 0.044
I 0.400 0.988 0.747
I 0.806 0.805 0.544
I 0.100 0.488 0.753
Sn 0.500 0.000 0.000
I 0.303 0.699 0.448
K 0.027 0.916 0.247

Values from the calculation:
- Total magnetic moment: 0.00 μB/cell
- ΔE_f (raw): -0.952 eV/atom

[4]
The following is a PBE-GGA calculation of an optimized crystal structure of K2LiSnI5, from Alexandria.

Lattice parameters (Å, degrees): 4.856 10.358 15.753 90.00 90.00 103.56
Sites, in units of the cell vectors:
Sn 0.462 0.924 0.438
Sn 0.538 0.076 0.938
I 0.920 0.839 0.551
I 0.474 0.949 0.758
I 0.665 0.331 0.847
I 0.727 0.455 0.163
I 0.273 0.545 0.663
K 0.902 0.803 0.174
K 0.845 0.690 0.821
I 0.080 0.161 0.051
Li 0.232 0.465 0.072
I 0.362 0.724 0.000
I 0.335 0.669 0.347
K 0.155 0.310 0.321
I 0.638 0.276 0.500
I 0.526 0.051 0.258
K 0.098 0.197 0.674
Li 0.768 0.535 0.572

Values from the calculation:
- Total magnetic moment: 0.00 μB/cell
- ΔE_f (raw): -1.039 eV/atom

[5]
The following is a PBE-GGA calculation of an optimized crystal structure of K2SrLiI5, from Alexandria.

Lattice parameters (Å, degrees): 4.808 10.713 15.364 90.00 90.00 102.97
Sites, in units of the cell vectors:
I 0.692 0.384 0.882
I 0.712 0.424 0.178
I 0.308 0.616 0.382
K 0.900 0.799 0.172
I 0.359 0.718 0.008
I 0.288 0.576 0.678
K 0.879 0.757 0.833
I 0.502 0.004 0.272
K 0.121 0.243 0.333
I 0.498 0.996 0.772
I 0.046 0.092 0.022
Li 0.559 0.117 0.928
I 0.641 0.282 0.508
Sr 0.204 0.408 0.030
Sr 0.796 0.592 0.530
I 0.954 0.908 0.522
K 0.100 0.201 0.672
Li 0.441 0.883 0.428

Values from the calculation:
- Total magnetic moment: 0.00 μB/cell
- ΔE_f (raw): -1.493 eV/atom

[6]
The following is a PBE-GGA calculation of an optimized crystal structure of KSr2LiI6, from Alexandria.

Lattice parameters (Å, degrees): 8.303 8.301 8.878 62.14 62.14 60.00
Sites, in units of the cell vectors:
I 0.585 0.237 0.241
I 0.237 0.937 0.241
K 0.813 0.813 0.562
I 0.134 0.391 0.762
I 0.713 0.134 0.762
Sr 0.516 0.516 0.451
I 0.937 0.585 0.241
Li 0.329 0.329 0.013
Sr 0.007 0.007 0.980
I 0.391 0.713 0.762

Values from the calculation:
- Total magnetic moment: 0.00 μB/cell
- ΔE_f (raw): -1.527 eV/atom

> Number 5 is which compound?

K2SrLiI5

Repeat the fifth record exactly.
The following is a PBE-GGA calculation of an optimized crystal structure of K2SrLiI5, from Alexandria.

Lattice parameters (Å, degrees): 4.808 10.713 15.364 90.00 90.00 102.97
Sites, in units of the cell vectors:
I 0.692 0.384 0.882
I 0.712 0.424 0.178
I 0.308 0.616 0.382
K 0.900 0.799 0.172
I 0.359 0.718 0.008
I 0.288 0.576 0.678
K 0.879 0.757 0.833
I 0.502 0.004 0.272
K 0.121 0.243 0.333
I 0.498 0.996 0.772
I 0.046 0.092 0.022
Li 0.559 0.117 0.928
I 0.641 0.282 0.508
Sr 0.204 0.408 0.030
Sr 0.796 0.592 0.530
I 0.954 0.908 0.522
K 0.100 0.201 0.672
Li 0.441 0.883 0.428

Values from the calculation:
- Total magnetic moment: 0.00 μB/cell
- ΔE_f (raw): -1.493 eV/atom